## UZn2Au (PBE)

Data for a relaxed structure of UZn2Au.

The structure in POSCAR format:
```
UZn2Au
1.0
2.857 0.000 0.000
0.000 2.857 0.000
0.000 0.000 8.633
Zn Au U
2 1 1
Cartesian
0.000 0.000 1.943
0.000 0.000 6.691
1.428 1.428 0.000
1.428 1.428 4.317
```

Calculated values
crystal system = tetragonal
V = 70.5 Å³ per cell
total DFT energy (no corrections) = -17.3 eV for the cell shown
magnetic moment = 1.80 μB per cell